# 1
First-principles (GGA-PBE) data for Ce5P4H after structural relaxation, as listed in Alexandria.

Cell and atoms, written as CIF:
```
data_Ce5P4H
_chemical_formula_sum 'Ce5 P4 H1'
_symmetry_space_group_name_H-M 'P 1'
_symmetry_Int_Tables_number 1
_symmetry_space_group_name_Hall 'P 1'
_cell_length_a 4.032
_cell_length_b 4.032
_cell_length_c 16.480
_cell_angle_alpha 82.97
_cell_angle_beta 82.97
_cell_angle_gamma 60.00
loop_
_atom_site_label
_atom_site_type_symbol
_atom_site_fract_x
_atom_site_fract_y
_atom_site_fract_z
Ce1 Ce 0.402 0.402 0.793
Ce2 Ce 0.000 0.000 0.000
Ce3 Ce 0.598 0.598 0.207
Ce4 Ce 0.803 0.803 0.590
Ce5 Ce 0.197 0.197 0.410
P1 P 0.896 0.896 0.311
P2 P 0.299 0.299 0.103
P3 P 0.701 0.701 0.897
P4 P 0.104 0.104 0.689
H1 H 0.500 0.500 0.500
```

Output
SG: R-3m, No. 166
Fermi-level density of states (states/eV/cell): 22.8
E above lowest polymorph (meV/atom): 0


# 2
First-principles (GGA-PBE) data for BaRe2Si after structural relaxation, as listed in Alexandria.

Cell and atoms, written as CIF:
```
data_BaRe2Si
_chemical_formula_sum 'Ba1 Re2 Si1'
_symmetry_space_group_name_H-M 'P 1'
_symmetry_Int_Tables_number 1
_symmetry_space_group_name_Hall 'P 1'
_cell_length_a 3.502
_cell_length_b 4.559
_cell_length_c 4.559
_cell_angle_alpha 90.00
_cell_angle_beta 90.00
_cell_angle_gamma 90.00
loop_
_atom_site_label
_atom_site_type_symbol
_atom_site_fract_x
_atom_site_fract_y
_atom_site_fract_z
Ba1 Ba 0.500 0.000 0.500
Re1 Re 0.000 0.000 0.000
Re2 Re 0.000 0.500 0.500
Si1 Si 0.500 0.500 0.000
```

Output
SG: P4/mmm, No. 123
Fermi-level density of states (states/eV/cell): 5.8
Energy relative to the elements, uncorrected (eV per atom): 1.53